{"formula": "KAlIr", "functional": "PBE", "state": "optimized geometry", "cell": [[2.9796, 0.0000, 0.0000], [-1.4898, 2.5804, 0.0000], [0.0000, 0.0000, 7.6909]], "species": ["Al", "Ir", "K"], "frac_coords": [[0.0000, 0.0000, 0.0508], [0.3333, 0.6667, 0.2954], [0.6667, 0.3333, 0.6538]], "de_polymorph_ev_per_atom": 0.435, "ef_ev_per_atom": 0.29}

---

{"formula": "LiMnP", "functional": "PBE", "state": "optimized geometry", "cell": [[-1.1067, 2.2816, -1.1816], [0.5752, -2.2466, -1.5648], [-5.4622, -2.1160, 1.0302]], "species": ["Mn", "Li", "P"], "frac_coords": [[0.6667, 0.3333, 0.3750], [0.0000, 0.0000, 0.9911], [0.3333, 0.6667, 0.6339]], "ef_ev_per_atom": -0.02}

---

{"formula": "PmDyY2Er", "functional": "PBE", "state": "optimized geometry", "cell": [[-1.2814, -6.8889, -1.7429], [6.2405, 0.2663, -5.6402], [0.5829, -1.8382, 6.8369]], "species": ["Y", "Y", "Pm", "Er", "Dy", "Pm", "Y", "Er", "Y", "Dy"], "frac_coords": [[0.5000, 0.3095, 0.0000], [0.0000, 0.3095, 0.0000], [0.7500, 0.2721, 0.5443], [0.2500, 0.2747, 0.5494], [0.7500, 0.0036, 0.0071], [0.2500, 0.7279, 0.4557], [0.5000, 0.6905, 0.0000], [0.7500, 0.7253, 0.4506], [0.0000, 0.6905, 0.0000], [0.2500, 0.9964, 0.9929]], "ef_ev_per_atom": 0.40}

---

{"formula": "AlSb2W", "functional": "PBE", "state": "optimized geometry", "cell": [[-2.0760, 1.5316, 1.6719], [2.1373, -1.2179, 1.8437], [5.4396, 8.2834, -0.8340]], "species": ["W", "Sb", "Sb", "Al"], "frac_coords": [[0.5000, 0.5000, 0.2500], [0.0000, 0.0000, 0.0299], [0.0000, 0.0000, 0.4701], [0.5000, 0.5000, 0.7500]], "total_energy_ev_per_cell": -22.5}

---

{"formula": "Cd2HgAu3", "functional": "PBE", "state": "optimized geometry", "cell": [[4.2234, 0.0000, -1.1242], [-0.2181, 2.8832, -0.8194], [0.4612, 1.3754, 10.2281]], "species": ["Cd", "Au", "Hg", "Au", "Cd", "Au"], "frac_coords": [[0.8498, 0.3498, 0.6995], [0.7063, 0.7063, 0.4126], [0.4447, 0.9447, 0.8894], [0.2949, 0.7949, 0.5898], [0.1383, 0.1383, 0.2766], [0.5660, 0.5660, 0.1321]], "ef_ev_per_atom": -0.04}

---

{"formula": "BeIn2P", "functional": "PBE", "state": "optimized geometry", "cell": [[-2.5784, -0.6722, 1.7309], [1.8410, -0.5394, 2.5330], [-0.5750, 7.2657, 1.9652]], "species": ["Be", "P", "In", "In"], "frac_coords": [[0.5000, 0.5000, 0.7500], [0.5000, 0.5000, 0.2500], [0.0000, 0.0000, 0.9858], [0.0000, 0.0000, 0.5142]], "de_polymorph_ev_per_atom": 0.440, "ef_ev_per_atom": 0.54}